DFT (GGA-PBE) results for crystalline CsCuTe2As at its relaxed geometry.

Cell lengths 8.6759, 4.2763, 9.3694 Å; angles 90.00, 107.13, 90.00 degrees
Element x y z (fractional)
Cs1 0.0000 0.0264 0.2500
Cs2 0.0000 0.9736 0.7500
Cu1 0.5000 0.0000 0.0000
Cu2 0.5000 0.0000 0.5000
Te1 0.2962 0.3864 0.0663
Te2 0.2962 0.6136 0.5663
Te3 0.7038 0.3864 0.4337
Te4 0.7038 0.6136 0.9337
As1 0.5000 0.1971 0.7500
As2 0.5000 0.8029 0.2500

Computed properties:
Energy (eV per cell): -34.82
Formation energy without anion corrections (eV per atom): -0.3059
DOS(E_F) (states/eV/cell): 2.52
Magnetization (μB per atom): 0.000